{"formula": "Ga2O3", "functional": "GGA-PBE", "state": "optimized geometry", "magmom_total_mub_per_fu": 0.000, "final_energy_ha_per_atom": -0.21132, "lattice_angstrom": [[-3.944, 2.885, -0.377], [2.198, -4.133, -1.451], [-3.165, -3.611, 5.488]], "species": ["Ga", "Ga", "Ga", "Ga", "O", "O", "O", "O", "O", "O"], "fractional_positions": [[0.248, 0.752, 0.750], [0.752, 0.248, 0.250], [0.000, 0.000, 0.000], [0.000, 0.000, 0.500], [0.363, 0.637, 0.425], [0.637, 0.363, 0.575], [0.637, 0.363, 0.925], [0.363, 0.637, 0.075], [0.107, 0.893, 0.250], [0.893, 0.107, 0.750]]}